Compound: ScCoNO
Source: the Open Quantum Materials Database
Functional: PBE with a Hubbard U
Structure: relaxed

Cell: 5.865 6.556 5.425 Å, 90.00 90.00 90.00°
Space group Pca2_1 (No. 29)
Inequivalent atoms, fractional coordinates:
Sc: 0.074 0.142 0.000 [4 per cell]
Co: 0.093 0.605 0.993 [4 per cell]
N: 0.095 0.624 0.628 [4 per cell]
O: 0.095 0.115 0.622 [4 per cell]

Computed properties:
Total energy in eV per atom: -7.519
Polymorph energy (0 for the lowest one) in meV/atom: 102
Magnetization in μB per formula unit: 3.00